(1)
Material: PmHoZn2
Method: DFT, PBE-GGA
State: optimized geometry

Summary:
Calculated formation energy, kcal/mol of atoms: -7.523

abc: 7.2163 7.2163 7.2163
angles: 90.00 90.00 90.00
Space group Fm-3m (No. 225)
Symmetry-distinct sites (fractional):
Pm  0.0000  0.0000  0.0000
Ho  0.0000  0.0000  0.5000
Zn  0.2500  0.2500  0.2500

---

(2)
Material: Pm3HoZn8
Method: DFT, PBE-GGA
State: optimized geometry

Summary:
Relative energy among the computed polymorphs, eV per atom: 0.000
Calculated formation energy, kcal/mol of atoms: -7.515

abc: 5.5343 5.5343 26.9956
angles: 90.00 90.00 120.00
Space group R3m (No. 160, hexagonal axes)
Symmetry-distinct sites (fractional):
Pm  0.0000  0.0000  0.0000
Pm  0.0000  0.0000  0.1248
Pm  0.0000  0.0000  0.6256
Ho  0.0000  0.0000  0.5009
Zn  0.0000  0.0000  0.3130
Zn  0.0000  0.0000  0.8127
Zn  0.0018  0.5009  0.0637
Zn  0.1673  0.3346  0.8953

---

(3)
Material: PmHoZn2
Method: DFT, PBE-GGA
State: optimized geometry

Summary:
Calculated formation energy, kcal/mol of atoms: -2.436

abc: 3.6255 3.6255 27.1068
angles: 90.00 90.00 120.00
Space group R-3m (No. 166, hexagonal axes)
Symmetry-distinct sites (fractional):
Pm  0.0000  0.0000  0.0000
Ho  0.0000  0.0000  0.5000
Zn  0.0000  0.0000  0.2472

---

(4)
Material: Pm5Ho4Zn
Method: DFT, PBE-GGA
State: optimized geometry

Summary:
Calculated formation energy, kcal/mol of atoms: -1.081

abc: 3.6196 3.6196 23.7300
angles: 90.00 90.00 90.00
Space group P4/mmm (No. 123)
Symmetry-distinct sites (fractional):
Pm  0.0000  0.0000  0.0000
Pm  0.0000  0.0000  0.2108
Pm  0.0000  0.0000  0.4229
Ho  0.5000  0.5000  0.1052
Ho  0.5000  0.5000  0.3151
Zn  0.5000  0.5000  0.5000

---

(5)
Material: PmHoZn4
Method: DFT, PBE-GGA
State: optimized geometry

Summary:
Relative energy among the computed polymorphs, eV per atom: 0.031
Calculated formation energy, kcal/mol of atoms: -7.611

abc: 7.7752 7.7752 7.7752
angles: 90.00 90.00 90.00
Space group F-43m (No. 216)
Symmetry-distinct sites (fractional):
Pm  0.0000  0.0000  0.0000
Ho  0.2500  0.2500  0.7500
Zn  0.1248  0.1248  0.3752

---

(6)
Material: Pm4HoZn
Method: DFT, PBE-GGA
State: optimized geometry

Summary:
Relative energy among the computed polymorphs, eV per atom: 0.000
Calculated formation energy, kcal/mol of atoms: -2.197

abc: 3.6378 3.6378 13.8764
angles: 90.00 90.00 90.00
Space group P4/mmm (No. 123)
Symmetry-distinct sites (fractional):
Pm  0.0000  0.0000  0.1319
Pm  0.5000  0.5000  0.3199
Ho  0.0000  0.0000  0.5000
Zn  0.5000  0.5000  0.0000